(1)
VASP calculation (PBE) on a relaxed structure of BeGaCoNi.

abc: 3.9388 3.9388 3.9388
angles: 60.00 60.00 60.00
Each line ends with the local moment (μB).
Atoms (fractional coordinates):
Be (0.2500, 0.2500, 0.2500)  0.00
Co (0.7500, 0.7500, 0.7500)  0.41
Ga (0.0000, 0.0000, 0.0000)  -0.02
Ni (0.5000, 0.5000, 0.5000)  0.04

Space-group type: No. 216
ΔE to the lowest computed polymorph (meV/atom): 213
Spin magnetization (μB per cell): 0.427



(2)
VASP calculation (PBE) on a relaxed structure of BeGaCoRe.

abc: 4.0808 4.0808 4.0808
angles: 60.00 60.00 60.00
Atoms (fractional coordinates):
Be (0.5000, 0.5000, 0.5000)
Co (0.7500, 0.7500, 0.7500)
Ga (0.0000, 0.0000, 0.0000)
Re (0.2500, 0.2500, 0.2500)

Space-group type: No. 216
ΔE to the lowest computed polymorph (meV/atom): 16
Spin magnetization (μB per cell): 1.373



(3)
VASP calculation (PBE) on a relaxed structure of BeGaCoRe.

abc: 4.0905 4.0905 4.0905
angles: 60.00 60.00 60.00
Each line ends with the local moment (μB).
Atoms (fractional coordinates):
Be (0.2500, 0.2500, 0.2500)  0.10
Co (0.7500, 0.7500, 0.7500)  1.32
Ga (0.0000, 0.0000, 0.0000)  -0.03
Re (0.5000, 0.5000, 0.5000)  0.89

Space-group type: No. 216
ΔE to the lowest computed polymorph (meV/atom): 0
Spin magnetization (μB per cell): 2.358